Below is a geometry-optimized NdSmCo2Sn structure, with properties calculated at the PBE level.

Computed properties:
* uncorrected energy: -5.90 eV/atom
* ρ: 8.13 g cm⁻³
* size of the total moment: 1.4 μB per formula unit

Lattice parameters (Å, degrees): 3.9601 7.2787 7.2787 31.13 90.00 90.00
Last column: nearest neighbours and their distance in Å.
Positions (direct):
Nd: 0.0000 0.0000 0.0000  6 Co 2.96-3.00
Sm: 0.0000 0.2706 0.2706  6 Co 2.94-2.97
Co: 0.5000 0.4287 0.4287  2 Co 2.32
Co: 0.5000 0.8393 0.8393  2 Co 2.32
Sn: 0.5000 0.6366 0.6366  2 Co 2.84-2.92